# LiErP2Pt5 (GGA-PBE, optimized geometry)
# - Energy: -53.84 eV for the cell shown
# - Formation energy from the elements: -0.705 eV per atom
data_LiErP2Pt5
_symmetry_space_group_name_H-M 'P 4/m m m'
_symmetry_Int_Tables_number 123
_symmetry_space_group_name_Hall '-P 4 2'
_cell_length_a 3.9710
_cell_length_b 3.9710
_cell_length_c 11.2556
_cell_angle_alpha 90.00
_cell_angle_beta 90.00
_cell_angle_gamma 90.00
loop_
_atom_site_label
_atom_site_type_symbol
_atom_site_fract_x
_atom_site_fract_y
_atom_site_fract_z
Li1 Li 0.0000 0.0000 0.0000
Er1 Er 0.0000 0.0000 0.5000
P1 P 0.5000 0.5000 0.1996
Pt1 Pt 0.0000 0.5000 0.3094
Pt2 Pt 0.5000 0.5000 0.0000